(1)
Density functional theory data (GGA-PBE) for crystalline NaCu2PbBr6 at its relaxed geometry.

Cell: 7.359 9.593 9.593 Å, 83.33 76.82 76.82°
Atoms (fractional coordinates):
Na 0.250 0.369 0.631
Na 0.750 0.631 0.369
Cu 0.240 0.787 0.613
Cu 0.260 0.387 0.213
Cu 0.760 0.213 0.387
Cu 0.740 0.613 0.787
Pb 0.250 0.892 0.108
Pb 0.750 0.108 0.892
Br 0.166 0.962 0.792
Br 0.334 0.208 0.038
Br 0.834 0.038 0.208
Br 0.666 0.792 0.962
Br 0.399 0.867 0.378
Br 0.101 0.622 0.133
Br 0.601 0.133 0.622
Br 0.899 0.378 0.867
Br 0.982 0.683 0.582
Br 0.518 0.418 0.317
Br 0.018 0.317 0.418
Br 0.482 0.582 0.683

Values from the calculation:
As for the space-group type: No. 15. The density is 4.3 Mg/m³. The uncorrected formation energy comes out at -711 meV/atom. For the total energy, the calculation gives -3.037 eV per atom.

***

(2)
Density functional theory data (GGA-PBE) for crystalline CeSm4Ho3S8 at its relaxed geometry.

Cell: 7.921 7.934 7.921 Å, 119.94 120.00 90.00°
Atoms (fractional coordinates):
Ce 0.000 0.500 0.000
Sm 0.500 0.000 0.000
Sm 0.500 0.000 0.500
Sm 0.000 0.000 0.000
Sm 0.000 0.000 0.500
Ho 0.500 0.500 0.000
Ho 0.500 0.500 0.500
Ho 0.000 0.500 0.500
S 0.250 0.742 0.992
S 0.250 0.742 0.500
S 0.254 0.262 0.508
S 0.742 0.742 0.992
S 0.258 0.258 0.008
S 0.746 0.738 0.492
S 0.750 0.258 0.500
S 0.750 0.258 0.008

Values from the calculation:
As for the space-group type: No. 166. The density is 7.0 Mg/m³. The uncorrected formation energy comes out at -2010 meV/atom. For the total energy, the calculation gives -6.483 eV per atom.

***

(3)
Density functional theory data (GGA-PBE) for crystalline Sc2Fe2Re at its relaxed geometry.

Cell: 6.109 6.109 4.309 Å, 90.00 90.00 90.00°
Atoms (fractional coordinates):
Sc 0.182 0.682 0.500
Sc 0.682 0.818 0.500
Sc 0.818 0.318 0.500
Sc 0.318 0.182 0.500
Re 0.000 0.000 0.000
Re 0.500 0.500 0.000
Fe 0.375 0.875 0.000
Fe 0.875 0.625 0.000
Fe 0.625 0.125 0.000
Fe 0.125 0.375 0.000

Values from the calculation:
As for the space-group type: No. 127. The density is 8.0 Mg/m³. For the total energy, the calculation gives -8.492 eV per atom. For the energy of formation from the pure elements, the calculation gives -85 meV per atom.

***

Please write out number 1 again, unchanged.
Density functional theory data (GGA-PBE) for crystalline NaCu2PbBr6 at its relaxed geometry.

Cell: 7.359 9.593 9.593 Å, 83.33 76.82 76.82°
Atoms (fractional coordinates):
Na 0.250 0.369 0.631
Na 0.750 0.631 0.369
Cu 0.240 0.787 0.613
Cu 0.260 0.387 0.213
Cu 0.760 0.213 0.387
Cu 0.740 0.613 0.787
Pb 0.250 0.892 0.108
Pb 0.750 0.108 0.892
Br 0.166 0.962 0.792
Br 0.334 0.208 0.038
Br 0.834 0.038 0.208
Br 0.666 0.792 0.962
Br 0.399 0.867 0.378
Br 0.101 0.622 0.133
Br 0.601 0.133 0.622
Br 0.899 0.378 0.867
Br 0.982 0.683 0.582
Br 0.518 0.418 0.317
Br 0.018 0.317 0.418
Br 0.482 0.582 0.683

Values from the calculation:
As for the space-group type: No. 15. The density is 4.3 Mg/m³. The uncorrected formation energy comes out at -711 meV/atom. For the total energy, the calculation gives -3.037 eV per atom.